Entry 1:
# GGA-PBE Nd3Mg5Pd2, optimized geometry
data_Nd3Mg5Pd2
_symmetry_space_group_name_H-M 'P 4/m b m'
_symmetry_Int_Tables_number 127
_symmetry_space_group_name_Hall '-P 4 2ab'
_cell_length_a 10.578
_cell_length_b 10.578
_cell_length_c 4.362
_cell_angle_alpha 90.00
_cell_angle_beta 90.00
_cell_angle_gamma 90.00
loop_
_atom_site_label
_atom_site_type_symbol
_atom_site_fract_x
_atom_site_fract_y
_atom_site_fract_z
_atom_site_occupancy
Nd1 Nd 0.000 0.000 0.000 1
Nd2 Nd 0.178 0.322 0.000 1
Mg1 Mg 0.000 0.500 0.500 1
Mg2 Mg 0.067 0.777 0.500 1
Pd1 Pd 0.117 0.617 0.000 1
# - raw total energy (eV per atom) = -3.669
# - crystal system = tetragonal
# - energy above the lowest structure with this stoichiometry (meV per atom) = 0
# - energy of formation (eV/atom) = -0.4032

***

Entry 2:
# GGA-PBE K2Hg3Pb, optimized geometry
data_K2Hg3Pb
_symmetry_space_group_name_H-M 'C 1 m 1'
_symmetry_Int_Tables_number 8
_cell_length_a 12.078
_cell_length_b 5.317
_cell_length_c 8.543
_cell_angle_alpha 90.00
_cell_angle_beta 132.38
_cell_angle_gamma 90.00
loop_
_symmetry_equiv_pos_as_xyz
'x,y,z'
'x,-y,z'
'x+1/2,y+1/2,z'
'x+1/2,-y+1/2,z'
loop_
_atom_site_label
_atom_site_type_symbol
_atom_site_fract_x
_atom_site_fract_y
_atom_site_fract_z
_atom_site_occupancy
K1 K 0.000 0.000 0.000 1
K2 K 0.119 0.000 0.625 1
Hg1 Hg 0.228 0.500 0.420 1
Hg2 Hg 0.230 0.500 0.049 1
Hg3 Hg 0.408 0.000 0.603 1
Pb1 Pb 0.390 0.000 0.214 1
# - raw total energy (eV per atom) = -1.386
# - crystal system = monoclinic
# - energy of formation (eV/atom) = -0.2507

***

Entry 3:
# GGA-PBE NdLuCdSn, optimized geometry
data_NdLuCdSn
_symmetry_space_group_name_H-M 'F -4 3 m'
_symmetry_Int_Tables_number 216
_symmetry_space_group_name_Hall 'F -4 2 3'
_cell_length_a 7.527
_cell_length_b 7.527
_cell_length_c 7.527
_cell_angle_alpha 90.00
_cell_angle_beta 90.00
_cell_angle_gamma 90.00
loop_
_atom_site_label
_atom_site_type_symbol
_atom_site_fract_x
_atom_site_fract_y
_atom_site_fract_z
_atom_site_occupancy
Nd1 Nd 0.000 0.000 0.000 1
Lu1 Lu 0.000 0.000 0.500 1
Cd1 Cd 0.250 0.250 0.750 1
Sn1 Sn 0.250 0.250 0.250 1
# - raw total energy (eV per atom) = -4.020
# - crystal system = cubic
# - energy of formation (eV/atom) = -0.4686

***

Entry 4:
# GGA-PBE NaAlSn, optimized geometry
data_NaAlSn
_symmetry_space_group_name_H-M 'C m c m'
_symmetry_Int_Tables_number 63
_symmetry_space_group_name_Hall '-C 2c 2'
_cell_length_a 5.132
_cell_length_b 8.864
_cell_length_c 6.140
_cell_angle_alpha 90.00
_cell_angle_beta 90.00
_cell_angle_gamma 90.00
loop_
_atom_site_label
_atom_site_type_symbol
_atom_site_fract_x
_atom_site_fract_y
_atom_site_fract_z
_atom_site_occupancy
Na1 Na 0.000 0.166 0.250 1
Al1 Al 0.000 0.500 0.000 1
Sn1 Sn 0.000 0.168 0.750 1
# - raw total energy (eV per atom) = -2.874
# - crystal system = orthorhombic
# - energy of formation (eV/atom) = 0.1479

***

Entry 5:
# GGA-PBE HfCd3W, optimized geometry
data_HfCd3W
_symmetry_space_group_name_H-M 'P m -3 m'
_symmetry_Int_Tables_number 221
_symmetry_space_group_name_Hall '-P 4 2 3'
_cell_length_a 5.117
_cell_length_b 5.117
_cell_length_c 5.117
_cell_angle_alpha 90.00
_cell_angle_beta 90.00
_cell_angle_gamma 90.00
loop_
_atom_site_label
_atom_site_type_symbol
_atom_site_fract_x
_atom_site_fract_y
_atom_site_fract_z
_atom_site_occupancy
Hf1 Hf 0.000 0.000 0.000 1
Cd1 Cd 0.000 0.500 0.500 1
W1 W 0.500 0.500 0.500 1
# - raw total energy (eV per atom) = -3.601
# - crystal system = cubic
# - energy of formation (eV/atom) = 1.5297

***

Entry 6:
# GGA-PBE TiAsAu3, optimized geometry
data_TiAsAu3
_symmetry_space_group_name_H-M 'P m -3 m'
_symmetry_Int_Tables_number 221
_symmetry_space_group_name_Hall '-P 4 2 3'
_cell_length_a 4.838
_cell_length_b 4.838
_cell_length_c 4.838
_cell_angle_alpha 90.00
_cell_angle_beta 90.00
_cell_angle_gamma 90.00
loop_
_atom_site_label
_atom_site_type_symbol
_atom_site_fract_x
_atom_site_fract_y
_atom_site_fract_z
_atom_site_occupancy
Ti1 Ti 0.000 0.000 0.000 1
As1 As 0.500 0.500 0.500 1
Au1 Au 0.000 0.500 0.500 1
# - raw total energy (eV per atom) = -3.857
# - crystal system = cubic
# - energy above the lowest structure with this stoichiometry (meV per atom) = 0
# - energy of formation (eV/atom) = 0.6182

***

Q: Which of these has the highest energy of formation?
A: HfCd3W

***

Q: Look up the energy of formation of the first one.
A: -0.4032 eV/atom